The following is a PBE calculation of a relaxed Mn2Fe2Ag crystal, from Alexandria.

Values from the calculation:
- Magnetic moment: 0.00 μB/f.u.
- N(E_F): 12.52 states/eV per cell
- E_form: 51.9 kJ/mol of atoms
- Excess energy over the best structure of this formula in the dataset: 184 meV/atom

a b c (Å): 3.735 3.735 9.231
angles (deg): 90.00 90.00 90.00
Space group I4/mmm (No. 139)
One atom of each set of equivalent atoms:
Mn  0.000  0.000  0.114
Fe  0.000  0.500  0.250
Ag  0.000  0.000  0.500